The following is a DFT calculation (meta-GGA SCAN) of a crystal of TbIn6Cu6 relaxed with PBEsol.

Output
ΔH_f (0 K), eV per atom: -0.1799

Unit cell a=5.335 b=9.065 c=9.142 alpha=90.00 beta=90.00 gamma=90.00
Space group Immm (No. 71)
One atom of each set of equivalent atoms:
Tb 0.000 0.000 0.000 (multiplicity 2)
In 0.000 0.000 0.342 (multiplicity 4)
In 0.000 0.337 0.000 (multiplicity 4)
In 0.000 0.500 0.319 (multiplicity 4)
Cu 0.000 0.264 0.500 (multiplicity 4)
Cu 0.250 0.250 0.250 (multiplicity 8)